The following is a DFT calculation (GGA-PBE) of a relaxed InSe2Cl crystal.

DFT total energy = -0.11468 Ha/atom
D(E_F) = 0.6 states/eV/f.u.
calculated volume = 114 Å³/cell
uncorrected formation energy = -0.23 eV/atom
distance to the lowest polymorph of the same formula = 285 meV/atom
spin magnetization = 0.000 Bohr magnetons per cell

a b c (Å): 5.893 5.893 5.893
angles (deg): 143.13 107.39 84.33
Sites, in units of the cell vectors:
Cl  0.479  0.479  0.000
In  0.260  0.760  0.500
Se  0.975  0.975  0.000
Se  0.786  0.286  0.500